NiBi4Pt: optimized geometry, PBE.

Geometry as POSCAR:
```
NiBi4Pt
1.0
4.091 0.000 0.000
0.000 5.509 -0.015
0.000 -0.004 7.114
Bi Pt Ni
4 1 1
direct
0.500 0.254 0.818
0.000 0.761 0.652
0.000 0.239 0.348
0.500 0.746 0.182
0.000 0.000 0.000
0.500 0.000 0.500
```

Values from the calculation:
- Offset from the most stable computed form: 0.009 eV/atom
- Energy relative to the elements: -0.10 eV per atom
- Magnetic moment: 0.000 Bohr magnetons per cell

NiBi6Pt2: optimized geometry, PBE.

Geometry as POSCAR:
```
NiBi6Pt2
1.0
-2.388 -3.830 -5.483
4.865 -4.551 1.060
-5.776 -4.790 5.939
Bi Ni Pt
12 2 4
direct
0.367 0.480 0.740
0.180 0.329 0.416
0.671 0.177 0.562
0.633 0.520 0.260
0.680 0.171 0.916
0.171 0.323 0.062
0.820 0.671 0.584
0.329 0.823 0.438
0.320 0.829 0.084
0.133 0.980 0.760
0.829 0.677 0.938
0.867 0.020 0.240
0.000 0.000 0.500
0.500 0.500 0.000
0.483 0.133 0.266
0.017 0.633 0.234
0.983 0.367 0.766
0.517 0.867 0.734
```

Values from the calculation:
- Energy relative to the elements: -0.11 eV per atom
- Magnetic moment: 0.000 Bohr magnetons per cell

NiBi2Pt: optimized geometry, PBE.

Geometry as POSCAR:
```
NiBi2Pt
1.0
-2.542 -1.359 2.590
2.888 -6.055 -0.342
5.309 2.333 3.535
Bi Ni Pt
4 2 2
direct
0.468 0.000 0.937
0.670 0.500 0.340
0.931 0.500 0.862
0.750 0.000 0.500
0.306 0.310 0.613
0.306 0.690 0.613
0.102 0.793 0.204
0.102 0.207 0.204
```

Values from the calculation:
- Energy relative to the elements: -0.01 eV per atom
- Magnetic moment: 0.000 Bohr magnetons per cell

NiBi2Pt: optimized geometry, PBE.

Geometry as POSCAR:
```
NiBi2Pt
1.0
-2.538 -5.425 3.879
4.890 -4.336 -2.865
3.521 -4.033 3.228
Pt Ni Bi
2 2 4
direct
0.750 0.250 0.500
0.000 0.000 0.000
0.250 0.750 0.500
0.500 0.500 0.000
0.375 0.391 0.750
0.875 0.859 0.750
0.141 0.625 0.250
0.609 0.125 0.250
```

Values from the calculation:
- Energy relative to the elements: 0.22 eV per atom
- Magnetic moment: 0.000 Bohr magnetons per cell

NiBi2Pt2: optimized geometry, PBE.

Geometry as POSCAR:
```
NiBi2Pt2
1.0
-4.306 -2.161 5.209
5.605 -2.367 3.651
0.360 3.642 1.808
Bi Pt Ni
4 4 2
direct
0.830 0.330 0.500
0.330 0.170 0.500
0.170 0.670 0.500
0.670 0.830 0.500
0.859 0.641 0.000
0.641 0.141 0.000
0.359 0.859 0.000
0.141 0.359 0.000
0.500 0.500 0.000
0.000 0.000 0.000
```

Values from the calculation:
- Energy relative to the elements: 0.07 eV per atom
- Magnetic moment: 0.000 Bohr magnetons per cell

NiSnBiPt2: optimized geometry, PBE.

Geometry as POSCAR:
```
NiSnBiPt2
1.0
-1.995 -4.554 -0.425
4.267 -2.020 1.617
-1.540 0.264 4.394
Pt Ni Sn Bi
2 1 1 1
direct
0.000 0.500 0.000
0.500 0.000 0.000
0.000 0.000 0.500
0.000 0.000 0.000
0.500 0.500 0.500
```

Values from the calculation:
- Energy relative to the elements: 0.55 eV per atom
- Magnetic moment: 0.000 Bohr magnetons per cell